1.
12
Lattice="-1.707 1.714 5.534 -6.782 4.214 -6.694 1.393 -10.321 0.331" Properties=species:S:1:pos:R:3 comment="PBE-GGA Ba5SrIn6, optimized geometry" formation_enthalpy_0k_ev_per_atom=-0.40 crystal_system=orthorhombic final_energy_ev_per_atom=-2.7103 sg="No. 71" n_ef_per_ev_atom=0.67 m_tot_mub_per_cell=0.00 pbc="T T T"
Ba -0.916 -6.874 1.846
Ba -1.392 -5.368 -2.063
Ba -6.179 2.482 -2.676
Ba -3.996 -0.739 -4.301
Ba -3.548 -2.196 -0.415
In -0.276 -3.339 0.948
In -2.919 1.360 -1.323
In -4.736 -4.318 -3.422
In -2.360 -0.075 2.592
In -4.177 -5.753 0.493
In -6.820 -1.054 -1.778
Sr 0.000 0.000 0.000

2.
4
Lattice="-5.227 1.096 2.083 0.915 -2.409 3.562 3.171 5.038 5.306" Properties=species:S:1:pos:R:3 comment="PBE-GGA Ba2SrIn, optimized geometry" formation_enthalpy_0k_ev_per_atom=-0.12 de_polymorph_kcal_per_mol_atoms=2.37 crystal_system=orthorhombic final_energy_ev_per_atom=-2.1815 sg="No. 38" n_ef_per_ev_atom=1.60 m_tot_mub_per_cell=0.00 pbc="T T T"
Ba -1.387 1.396 3.672
Ba 3.982 2.672 8.585
Sr 0.235 2.868 6.969
In 2.156 0.731 5.026

3.
7
Lattice="5.699 0.000 1.781 2.571 5.086 1.781 -0.039 -0.024 10.136" Properties=species:S:1:pos:R:3 comment="PBE-GGA BaSr4In2, optimized geometry" formation_enthalpy_0k_ev_per_atom=-0.25 crystal_system=trigonal final_energy_ev_per_atom=-2.2678 sg="No. 166" n_ef_per_ev_atom=1.00 m_tot_mub_per_cell=0.01 pbc="T T T"
Sr 7.118 4.377 7.249
Sr 1.113 0.685 6.448
Sr 3.244 1.995 9.639
Sr 4.988 3.067 4.058
In 6.102 3.752 10.502
In 2.130 1.310 3.195
Ba 0.000 0.000 0.000

4.
12
Lattice="-3.105 5.128 0.069 -5.960 -0.097 -0.639 -4.740 0.478 15.592" Properties=species:S:1:pos:R:3 comment="PBE-GGA Ba5Sr2In5, optimized geometry" formation_enthalpy_0k_ev_per_atom=-0.32 crystal_system=monoclinic final_energy_ev_per_atom=-2.5396 sg="No. 12" n_ef_per_ev_atom=0.78 m_tot_mub_per_cell=0.00 pbc="T T T"
Ba -3.132 1.598 0.835
Ba -3.605 1.271 5.156
Ba -10.673 3.910 14.187
Ba -6.903 2.754 7.511
Ba -10.200 4.237 9.866
In -3.990 1.004 8.684
In -9.815 4.505 6.338
In -6.358 3.136 2.499
In 0.000 0.000 0.000
In -7.447 2.373 12.523
Sr -4.376 0.733 12.242
Sr -9.429 4.776 2.779

5.
4
Lattice="4.354 0.000 0.000 2.177 3.771 0.000 2.177 1.257 12.670" Properties=species:S:1:pos:R:3 comment="PBE-GGA Ba2SrIn, optimized geometry" formation_enthalpy_0k_ev_per_atom=-0.10 de_polymorph_kcal_per_mol_atoms=2.72 crystal_system=trigonal final_energy_ev_per_atom=-2.1664 sg="No. 160" n_ef_per_ev_atom=1.15 m_tot_mub_per_cell=0.00 pbc="T T T"
Sr 4.354 2.514 6.332
Ba 2.177 1.257 2.572
Ba 2.177 1.257 10.097
In 4.354 2.514 0.003

6.
18
Lattice="8.136 0.000 0.000 0.000 10.476 0.000 0.000 -5.238 9.072" Properties=species:S:1:pos:R:3 comment="PBE-GGA Ba5SrIn3, optimized geometry" formation_enthalpy_0k_ev_per_atom=-0.28 crystal_system=hexagonal final_energy_ev_per_atom=-2.4476 sg="No. 193" n_ef_per_ev_atom=1.59 m_tot_mub_per_cell=0.00 pbc="T T T"
In 6.102 1.730 2.996
In 2.034 -1.730 2.996
In 6.102 6.968 6.076
In 2.034 3.508 6.076
In 6.102 7.016 0.000
In 2.034 3.460 0.000
Ba 6.102 3.473 0.000
Ba 4.068 0.000 6.048
Ba 0.000 5.238 3.024
Ba 0.000 0.000 6.048
Ba 6.102 3.501 6.065
Ba 2.034 1.737 3.007
Ba 4.068 5.238 3.024
Ba 2.034 -3.501 6.065
Ba 2.034 7.003 0.000
Ba 6.102 8.740 3.007
Sr 4.068 0.000 0.000
Sr 0.000 0.000 0.000

7.
11
Lattice="6.280 0.000 -1.803 0.022 8.404 0.077 -0.027 0.707 11.745" Properties=species:S:1:pos:R:3 comment="PBE-GGA Ba8Sr2In, optimized geometry" formation_enthalpy_0k_ev_per_atom=-0.04 crystal_system=monoclinic final_energy_ev_per_atom=-1.9902 sg="No. 12" n_ef_per_ev_atom=1.48 m_tot_mub_per_cell=0.00 pbc="T T T"
Ba 1.011 7.133 3.521
Ba 3.685 5.186 0.997
Ba 0.198 1.957 0.688
Ba 6.077 7.153 9.331
Ba 5.264 1.978 6.499
Ba 2.180 8.050 7.594
Ba 2.590 3.925 9.023
Ba 4.095 1.061 2.425
Sr 4.883 5.878 5.170
Sr 1.392 3.233 4.849
In 3.140 0.000 -0.901

8.
6
Lattice="0.415 -7.017 -9.935 4.995 -7.606 -8.082 -0.467 -6.707 -0.976" Properties=species:S:1:pos:R:3 comment="PBE-GGA BaSrIn, optimized geometry" formation_enthalpy_0k_ev_per_atom=-0.26 crystal_system=monoclinic final_energy_ev_per_atom=-2.3695 sg="No. 12" n_ef_per_ev_atom=1.14 m_tot_mub_per_cell=0.00 pbc="T T T"
Sr 4.242 -16.601 -15.758
Sr 0.701 -4.730 -3.235
Ba 3.141 -8.851 -10.575
Ba 1.802 -12.480 -8.419
In 0.953 -7.962 -4.884
In 3.990 -13.369 -14.109

9.
9
Lattice="5.973 0.000 0.000 -2.987 5.158 0.404 0.000 -0.874 11.176" Properties=species:S:1:pos:R:3 comment="PBE-GGA Ba3Sr2In4, optimized geometry" formation_enthalpy_0k_ev_per_atom=-0.36 crystal_system=trigonal final_energy_ev_per_atom=-2.5931 sg="No. 164" n_ef_per_ev_atom=0.64 m_tot_mub_per_cell=0.00 pbc="T T T"
In 0.000 -0.569 7.284
In 2.987 1.631 1.269
In 0.000 2.653 10.312
In 2.987 4.853 4.296
Ba 0.000 0.000 0.000
Ba 0.000 2.926 6.835
Ba 2.987 1.358 4.745
Sr 0.000 3.256 2.597
Sr 2.987 1.028 8.984

10.
7
Lattice="-2.980 -1.471 -5.830 -5.228 -2.579 3.323 -8.627 7.144 -1.255" Properties=species:S:1:pos:R:3 comment="PBE-GGA Ba4Sr2In, optimized geometry" formation_enthalpy_0k_ev_per_atom=0.10 crystal_system=tetragonal final_energy_ev_per_atom=-1.8703 sg="No. 139" n_ef_per_ev_atom=1.25 m_tot_mub_per_cell=0.58 pbc="T T T"
Sr -5.216 0.229 -1.254
Sr -11.619 2.865 -2.508
Ba -1.490 -0.736 -2.915
Ba -2.614 -1.289 1.662
Ba -9.736 -0.953 -2.507
Ba -7.100 4.047 -1.255
In 0.000 0.000 0.000

11.
7
Lattice="-0.393 1.610 -4.878 0.369 -4.015 -1.355 -11.041 0.018 3.616" Properties=species:S:1:pos:R:3 comment="PBE-GGA BaSr2In4, optimized geometry" formation_enthalpy_0k_ev_per_atom=-0.42 crystal_system=orthorhombic final_energy_ev_per_atom=-2.7440 sg="No. 71" n_ef_per_ev_atom=0.43 m_tot_mub_per_cell=0.00 pbc="T T T"
In -7.838 -0.840 0.354
In -1.342 -2.171 -0.609
In -9.723 -0.216 -2.009
In -3.227 -1.547 -2.971
Sr -4.243 -0.455 0.192
Sr -6.822 -1.932 -2.809
Ba -0.196 0.805 -2.439

12.
6
Lattice="5.150 1.103 5.517 1.322 7.035 2.632 -2.282 1.939 7.014" Properties=species:S:1:pos:R:3 comment="PBE-GGA BaSr4In, optimized geometry" formation_enthalpy_0k_ev_per_atom=0.19 de_polymorph_kcal_per_mol_atoms=7.51 crystal_system=cubic final_energy_ev_per_atom=-1.7055 sg="No. 216" n_ef_per_ev_atom=1.35 m_tot_mub_per_cell=0.01 pbc="T T T"
Ba 3.142 7.558 11.372
Sr 2.233 7.311 6.998
Sr 0.420 4.747 9.203
Sr 4.159 4.326 8.450
Sr 1.568 3.771 5.674
In 0.000 0.000 0.000

13.
4
Lattice="-5.807 -1.766 0.068 1.450 -4.627 3.651 -0.822 2.856 3.946" Properties=species:S:1:pos:R:3 comment="PBE-GGA Ba2SrIn, optimized geometry" formation_enthalpy_0k_ev_per_atom=-0.15 de_polymorph_kcal_per_mol_atoms=1.68 crystal_system=tetragonal final_energy_ev_per_atom=-2.2117 sg="No. 123" n_ef_per_ev_atom=0.89 m_tot_mub_per_cell=0.00 pbc="T T T"
Ba -2.179 -3.196 1.860
Ba 0.000 0.000 0.000
Sr 0.314 -0.886 3.799
In -3.314 0.545 2.007

14.
10
Lattice="-4.390 -4.247 0.410 -1.728 -2.101 5.435 -10.784 6.937 2.088" Properties=species:S:1:pos:R:3 comment="PBE-GGA Ba2SrIn2, optimized geometry" formation_enthalpy_0k_ev_per_atom=-0.35 de_polymorph_kcal_per_mol_atoms=0.00 crystal_system=monoclinic final_energy_ev_per_atom=-2.5482 sg="No. 12" n_ef_per_ev_atom=0.82 m_tot_mub_per_cell=0.00 pbc="T T T"
Ba -4.893 -3.380 4.008
Ba -4.255 0.196 2.171
Ba -12.010 3.969 3.926
Ba -12.647 0.393 5.763
Sr -9.646 -2.671 6.172
Sr -7.257 3.259 1.761
In -7.134 -5.285 5.982
In -9.478 1.326 3.660
In -9.768 5.874 1.952
In -7.424 -0.737 4.273

15.
21
Lattice="4.477 0.000 0.000 0.000 13.021 -7.517 0.000 0.000 15.035" Properties=species:S:1:pos:R:3 comment="PBE-GGA Ba2Sr12In7, optimized geometry" formation_enthalpy_0k_ev_per_atom=-0.28 crystal_system=hexagonal final_energy_ev_per_atom=-2.3419 sg="No. 174" n_ef_per_ev_atom=0.83 m_tot_mub_per_cell=0.00 pbc="T T T"
Sr 0.000 3.436 -1.442
Sr 0.000 10.054 5.263
Sr 0.000 0.828 7.652
Sr 2.238 9.314 -3.708
Sr 2.238 5.153 1.305
Sr 2.238 2.908 10.153
Sr 2.238 7.339 7.440
Sr 2.238 11.575 2.403
Sr 0.000 12.551 -3.821
Sr 2.238 2.774 4.959
Sr 0.000 5.980 4.409
Sr 0.000 6.213 10.491
In 2.238 8.216 3.169
In 0.000 2.608 2.093
In 0.000 0.509 11.729
In 2.238 11.657 -1.182
In 0.000 4.340 7.517
In 0.000 9.903 8.730
In 2.238 6.168 -1.986
Ba 0.000 8.680 0.000
Ba 2.238 0.000 0.000

16.
9
Lattice="4.275 0.000 0.679 1.879 7.479 1.965 -0.035 -0.205 14.021" Properties=species:S:1:pos:R:3 comment="PBE-GGA Ba6SrIn2, optimized geometry" formation_enthalpy_0k_ev_per_atom=-0.17 crystal_system=monoclinic final_energy_ev_per_atom=-2.2507 sg="No. 12" n_ef_per_ev_atom=1.14 m_tot_mub_per_cell=0.00 pbc="T T T"
Ba 3.879 3.574 3.174
Ba 0.595 1.748 10.057
Ba 2.241 3.700 13.490
Ba 2.758 5.742 10.234
Ba 3.362 1.532 6.431
Ba 5.525 5.525 6.607
In 1.688 0.728 3.168
In 4.431 6.546 13.497
Sr 0.000 0.000 0.000

17.
4
Lattice="7.798 0.063 0.005 3.991 6.700 -0.005 -5.279 -4.455 3.620" Properties=species:S:1:pos:R:3 comment="PBE-GGA Ba2SrIn, optimized geometry" formation_enthalpy_0k_ev_per_atom=-0.15 de_polymorph_kcal_per_mol_atoms=1.53 crystal_system=orthorhombic final_energy_ev_per_atom=-2.2180 sg="No. 71" n_ef_per_ev_atom=1.37 m_tot_mub_per_cell=0.52 pbc="T T T"
In 4.207 -0.505 1.813
Ba 11.251 6.453 0.000
Ba 6.434 3.690 0.000
Sr 2.304 2.813 1.807

18.
4
Lattice="-5.172 3.529 -2.111 -4.480 -0.885 4.776 6.273 1.976 0.636" Properties=species:S:1:pos:R:3 comment="PBE-GGA Ba2SrIn, optimized geometry" formation_enthalpy_0k_ev_per_atom=-0.12 de_polymorph_kcal_per_mol_atoms=2.37 crystal_system=tetragonal final_energy_ev_per_atom=-2.1816 sg="No. 119" n_ef_per_ev_atom=1.05 m_tot_mub_per_cell=0.29 pbc="T T T"
Sr -1.863 3.413 -0.071
Ba 0.000 0.000 0.000
Ba -1.517 1.207 3.372
In -4.826 1.322 1.332

19.
8
Lattice="-5.104 -1.044 -0.954 3.669 -5.995 1.674 -2.323 1.569 10.713" Properties=species:S:1:pos:R:3 comment="PBE-GGA Ba2SrIn, optimized geometry" formation_enthalpy_0k_ev_per_atom=-0.19 de_polymorph_kcal_per_mol_atoms=0.60 crystal_system=monoclinic final_energy_ev_per_atom=-2.2584 sg="No. 11" n_ef_per_ev_atom=0.99 m_tot_mub_per_cell=2.00 pbc="T T T"
Ba -3.237 -1.741 4.538
Ba -2.375 -2.323 0.564
Ba -1.383 -3.147 10.868
Ba -0.521 -3.729 6.895
In -3.756 -2.497 8.136
In -0.002 -2.973 3.296
Sr -1.593 0.297 8.196
Sr -2.165 -5.767 3.237

20.
18
Lattice="-7.018 -0.352 -1.597 2.416 -0.378 -10.534 0.431 -10.794 0.486" Properties=species:S:1:pos:R:3 comment="PBE-GGA Ba4SrIn4, optimized geometry" formation_enthalpy_0k_ev_per_atom=-0.23 crystal_system=tetragonal final_energy_ev_per_atom=-2.4900 sg="No. 86" n_ef_per_ev_atom=1.46 m_tot_mub_per_cell=0.01 pbc="T T T"
In -2.501 -4.415 -8.890
In -1.542 -2.816 -4.264
In 1.406 -8.326 -8.941
In -0.544 -2.946 -1.558
In -4.187 -2.077 -9.062
In -5.018 -9.700 -3.727
In -0.645 -8.608 -6.929
In -3.654 -7.209 -3.206
Ba -4.285 -9.343 -7.174
Ba -4.983 -2.437 -5.630
Ba -0.265 -6.464 -1.862
Ba 1.190 -4.805 -8.623
Ba -4.121 -3.677 -1.789
Ba -0.860 -1.335 -7.733
Ba -1.972 -7.943 -10.292
Ba -1.390 -10.093 -3.474
Sr 0.000 0.000 0.000
Sr -2.086 -5.762 -5.822

21.
9
Lattice="4.598 0.000 0.000 0.000 9.939 0.000 0.000 -4.969 8.607" Properties=species:S:1:pos:R:3 comment="PBE-GGA Ba3Sr3TlIn2, optimized geometry" formation_enthalpy_0k_ev_per_atom=-0.26 crystal_system=hexagonal final_energy_ev_per_atom=-2.3304 sg="No. 189" n_ef_per_ev_atom=1.19 m_tot_mub_per_cell=0.00 pbc="T T T"
Ba 2.299 -3.646 6.315
Ba 2.299 7.291 0.000
Ba 2.299 1.324 2.293
Sr 0.000 -1.993 3.453
Sr 0.000 2.976 5.154
Sr 0.000 3.987 0.000
Tl 0.000 0.000 0.000
In 2.299 4.969 2.869
In 2.299 0.000 5.738

22.
7
Lattice="-3.066 1.968 3.811 -4.427 -2.508 1.381 2.753 -5.584 8.745" Properties=species:S:1:pos:R:3 comment="PBE-GGA Ba2SrTl2In2, optimized geometry" formation_enthalpy_0k_ev_per_atom=-0.28 crystal_system=trigonal final_energy_ev_per_atom=-2.5272 sg="No. 166" n_ef_per_ev_atom=0.57 m_tot_mub_per_cell=0.00 pbc="T T T"
In -1.024 -4.447 8.766
In -3.715 -1.677 5.170
Tl -1.576 -1.128 2.961
Tl -3.163 -4.996 10.975
Sr 0.000 0.000 0.000
Ba 0.628 -3.397 5.906
Ba -5.368 -2.727 8.030

23.
4
Lattice="5.939 0.000 0.000 2.969 5.143 0.000 2.969 1.714 4.849" Properties=species:S:1:pos:R:3 comment="PBE-GGA BaSrTlIn, optimized geometry" formation_enthalpy_0k_ev_per_atom=-0.41 crystal_system=cubic final_energy_ev_per_atom=-2.5887 sg="No. 216" n_ef_per_ev_atom=0.73 m_tot_mub_per_cell=0.00 pbc="T T T"
Sr 2.969 1.714 1.212
Ba 8.908 5.143 3.637
In 0.000 0.000 0.000
Tl 5.939 3.429 2.425

24.
9
Lattice="-5.236 -0.595 -2.073 -0.050 -8.360 2.523 -2.855 6.216 5.428" Properties=species:S:1:pos:R:3 comment="PBE-GGA Ba3Sr3Zn2In, optimized geometry" formation_enthalpy_0k_ev_per_atom=-0.16 crystal_system=hexagonal final_energy_ev_per_atom=-1.9478 sg="No. 189" n_ef_per_ev_atom=1.45 m_tot_mub_per_cell=0.00 pbc="T T T"
Zn -4.538 1.060 3.423
Zn -3.603 -3.799 2.455
Sr -4.734 4.311 2.987
Sr -2.655 -6.494 0.834
Sr -3.369 -0.852 1.021
Ba -0.021 -3.462 1.045
Ba -1.182 2.574 2.248
Ba -1.702 -1.256 4.658
In 0.000 0.000 0.000